[1]
This record from Alexandria via LeMat-Bulk describes a relaxed structure of ZrPa6Se12. The functional is PBE-GGA.

Properties
E_form (uncorrected) = -1.253 eV per atom
final energy = -0.2537 hartree per atom
density = 7.72 g/cm3
magnetization = 10.1 μB/f.u.

```
data_ZrPa6Se12
_space_group_name_H-M_alt 'R -3'
_space_group_IT_number 148
_space_group_name_Hall '-R 3'
_cell_length_a 12.4807
_cell_length_b 12.4807
_cell_length_c 11.5987
_cell_angle_alpha 90.00
_cell_angle_beta 90.00
_cell_angle_gamma 120.00
loop_
_atom_site_label
_atom_site_fract_x
_atom_site_fract_y
_atom_site_fract_z
Zr1 0.0000 0.0000 0.0000
Pa1 0.0523 0.4399 0.3080
Se1 0.0356 0.2116 0.3906
Se2 0.0546 0.2013 0.8762
```


[2]
This record from Alexandria via LeMat-Bulk describes a relaxed structure of ZrPaSe2. The functional is PBE-GGA.

Properties
E_form (uncorrected) = -1.082 eV per atom
final energy = -0.2695 hartree per atom
E above lowest polymorph = 34.0 meV/atom
density = 9.66 g/cm3
magnetization = 0.0 μB/f.u.

```
data_ZrPaSe2
_space_group_name_H-M_alt 'P 4/m m m'
_space_group_IT_number 123
_space_group_name_Hall '-P 4 2'
_cell_length_a 4.872
_cell_length_b 4.872
_cell_length_c 3.476
_cell_angle_alpha 90.00
_cell_angle_beta 90.00
_cell_angle_gamma 90.00
loop_
_atom_site_label
_atom_site_fract_x
_atom_site_fract_y
_atom_site_fract_z
Zr1 0.000 0.000 0.000
Pa1 0.500 0.500 0.000
Se1 0.000 0.500 0.500
```